Computed, not measured: an optimized crystal structure of ZrTa3P at the PBE level of DFT.

Cell lengths 4.6444, 4.6444, 4.6444 Å; angles 90.00, 90.00, 90.00 degrees
Fractional coordinates of all 5 atoms:
Ta (0.0000, 0.0000, 0.5000)
Ta (0.5000, 0.0000, 0.0000)
Ta (0.0000, 0.5000, 0.0000)
Zr (0.5000, 0.5000, 0.5000)
P (0.0000, 0.0000, 0.0000)

Properties
- ΔH_f (0 K) (kJ/mol of atoms) = 9
- space-group type = Pm-3m, No. 221
- relative energy among the computed polymorphs (meV/atom) = 0
- Fermi-level density of states (states/eV/cell) = 4.3

Computed, not measured: an optimized crystal structure of ZrTa2P at the PBE level of DFT.

Cell lengths 5.1098, 5.1098, 5.1098 Å; angles 132.54, 132.54, 69.37 degrees
Fractional coordinates of all 4 atoms:
Ta (0.2500, 0.7500, 0.5000)
Ta (0.0000, 0.0000, 0.0000)
Zr (0.5000, 0.5000, 0.0000)
P (0.7500, 0.2500, 0.5000)

Properties
- ΔH_f (0 K) (kJ/mol of atoms) = -5
- space-group type = I-4m2, No. 119
- Fermi-level density of states (states/eV/cell) = 2.8

Computed, not measured: an optimized crystal structure of ZrTaP4 at the PBE level of DFT.

Cell lengths 5.0854, 5.0854, 5.0854 Å; angles 60.00, 60.00, 60.00 degrees
Fractional coordinates of all 6 atoms:
P (0.8737, 0.3754, 0.3754)
P (0.3754, 0.8737, 0.3754)
P (0.3754, 0.3754, 0.3754)
P (0.3754, 0.3754, 0.8737)
Zr (0.0000, 0.0000, 0.0000)
Ta (0.7500, 0.7500, 0.7500)

Properties
- ΔH_f (0 K) (kJ/mol of atoms) = 26
- space-group type = F-43m, No. 216
- Fermi-level density of states (states/eV/cell) = 5.6

Computed, not measured: an optimized crystal structure of ZrTaP2 at the PBE level of DFT.

Cell lengths 4.8769, 4.8769, 4.3796 Å; angles 89.98, 89.98, 39.27 degrees
Fractional coordinates of all 4 atoms:
Ta (0.5011, 0.5011, 0.6250)
Zr (0.2471, 0.2471, 0.1252)
P (0.9674, 0.9674, 0.1248)
P (0.7844, 0.7844, 0.6250)

Properties
- ΔH_f (0 K) (kJ/mol of atoms) = -80
- space-group type = Amm2, No. 38
- relative energy among the computed polymorphs (meV/atom) = 193
- Fermi-level density of states (states/eV/cell) = 1.8

Computed, not measured: an optimized crystal structure of Tb3P2 at the PBE level of DFT.

Cell lengths 6.8177, 6.8177, 7.6181 Å; angles 63.42, 63.42, 60.00 degrees
Fractional coordinates of all 10 atoms:
Tb (0.0773, 0.7500, 0.7500)
Tb (0.2500, 0.5773, 0.2500)
Tb (0.7500, 0.4227, 0.7500)
Tb (0.5773, 0.9227, 0.2500)
Tb (0.4227, 0.0773, 0.7500)
Tb (0.9227, 0.2500, 0.2500)
P (0.6623, 0.6623, 0.0130)
P (0.3377, 0.3377, 0.9870)
P (0.8377, 0.8377, 0.4870)
P (0.1623, 0.1623, 0.5130)

Properties
- ΔH_f (0 K) (kJ/mol of atoms) = -114
- space-group type = R-3c, No. 167
- Fermi-level density of states (states/eV/cell) = 7.4

Computed, not measured: an optimized crystal structure of Tb4P3 at the PBE level of DFT.

Cell lengths 4.0120, 4.0120, 12.9608 Å; angles 81.10, 81.10, 60.00 degrees
Fractional coordinates of all 7 atoms:
P (0.7530, 0.7530, 0.7409)
P (0.2470, 0.2470, 0.2591)
P (0.0000, 0.0000, 0.0000)
Tb (0.6252, 0.6252, 0.1244)
Tb (0.8751, 0.8751, 0.3748)
Tb (0.3748, 0.3748, 0.8756)
Tb (0.1249, 0.1249, 0.6252)

Properties
- ΔH_f (0 K) (kJ/mol of atoms) = -132
- space-group type = R-3m, No. 166
- Fermi-level density of states (states/eV/cell) = 1.9

Computed, not measured: an optimized crystal structure of TbP at the PBE level of DFT.

Cell lengths 4.0276, 4.0276, 4.0276 Å; angles 60.00, 60.00, 60.00 degrees
Fractional coordinates of all 2 atoms:
Tb (0.5000, 0.5000, 0.5000)
P (0.0000, 0.0000, 0.0000)

Properties
- ΔH_f (0 K) (kJ/mol of atoms) = -156
- space-group type = Fm-3m, No. 225
- Fermi-level density of states (states/eV/cell) = 0.3

Computed, not measured: an optimized crystal structure of Tb6P5 at the PBE level of DFT.

Cell lengths 6.9446, 6.9371, 6.9290 Å; angles 120.04, 99.60, 70.55 degrees
Fractional coordinates of all 11 atoms:
Tb (0.2563, 0.2568, 0.0000)
Tb (0.7437, 0.7432, 0.0000)
Tb (0.2528, 0.5736, 0.6584)
Tb (0.7472, 0.4264, 0.3416)
Tb (0.2528, 0.9152, 0.3416)
Tb (0.7472, 0.0848, 0.6584)
P (0.5000, 0.1663, 0.3326)
P (0.0000, 0.6666, 0.3333)
P (0.5000, 0.8337, 0.6674)
P (0.5000, 0.5000, 0.0000)
P (0.0000, 0.3334, 0.6667)

Properties
- ΔH_f (0 K) (kJ/mol of atoms) = -142
- space-group type = C2/m, No. 12
- Fermi-level density of states (states/eV/cell) = 6.4

Computed, not measured: an optimized crystal structure of Tb4P at the PBE level of DFT.

Cell lengths 5.4047, 5.4047, 5.4047 Å; angles 90.00, 90.00, 90.00 degrees
Fractional coordinates of all 5 atoms:
P (0.5000, 0.5000, 0.5000)
Tb (0.5000, 0.0000, 0.5000)
Tb (0.0000, 0.5000, 0.5000)
Tb (0.0000, 0.0000, 0.0000)
Tb (0.5000, 0.5000, 0.0000)

Properties
- ΔH_f (0 K) (kJ/mol of atoms) = -39
- space-group type = Pm-3m, No. 221
- Fermi-level density of states (states/eV/cell) = 8.7

Computed, not measured: an optimized crystal structure of TbTcP at the PBE level of DFT.

Cell lengths 4.0320, 4.0757, 4.0757 Å; angles 120.00, 90.00, 90.00 degrees
Last column: magnetic moment on the atom in μB.
Fractional coordinates of all 3 atoms:
P (0.1667, 0.0000, 0.0000)  0.01
Tb (0.6666, 0.6667, 0.3333)  0.02
Tc (0.1667, 0.3333, 0.6667)  0.45

Properties
- ΔH_f (0 K) (kJ/mol of atoms) = -64
- space-group type = P-6m2, No. 187
- Fermi-level density of states (states/eV/cell) = 3.0

Computed, not measured: an optimized crystal structure of TbTc3P2 at the PBE level of DFT.

Cell lengths 4.0459, 8.1105, 9.4510 Å; angles 105.32, 90.00, 104.44 degrees
Fractional coordinates of all 18 atoms:
P (0.1991, 0.3981, 0.1330)
P (0.3525, 0.7050, 0.5361)
P (0.4598, 0.9196, 0.2087)
P (0.5402, 0.0804, 0.7913)
P (0.8009, 0.6019, 0.8670)
P (0.6475, 0.2950, 0.4639)
Tc (0.7921, 0.5842, 0.6112)
Tc (0.3210, 0.6420, 0.0198)
Tc (0.6790, 0.3580, 0.9802)
Tc (0.3822, 0.7645, 0.7966)
Tc (0.6178, 0.2355, 0.2034)
Tc (0.5000, 0.0000, 0.5000)
Tc (0.2079, 0.4158, 0.3888)
Tc (0.9640, 0.9279, 0.6395)
Tc (0.0360, 0.0721, 0.3605)
Tb (0.1616, 0.3232, 0.7108)
Tb (0.0000, 0.0000, 0.0000)
Tb (0.8384, 0.6768, 0.2892)

Properties
- ΔH_f (0 K) (kJ/mol of atoms) = -63
- space-group type = C2/m, No. 12
- Fermi-level density of states (states/eV/cell) = 14.5

Computed, not measured: an optimized crystal structure of TbTc4P2 at the PBE level of DFT.

Cell lengths 4.0109, 4.0495, 7.0836 Å; angles 106.61, 90.00, 90.00 degrees
Fractional coordinates of all 7 atoms:
P (0.5000, 0.4137, 0.8274)
P (0.5000, 0.5863, 0.1726)
Tc (0.0000, 0.6908, 0.3815)
Tc (0.5000, 0.8172, 0.6344)
Tc (0.0000, 0.3092, 0.6185)
Tc (0.5000, 0.1828, 0.3656)
Tb (0.0000, 0.0000, 0.0000)

Properties
- ΔH_f (0 K) (kJ/mol of atoms) = -69
- space-group type = Cmmm, No. 65
- Fermi-level density of states (states/eV/cell) = 2.8

Computed, not measured: an optimized crystal structure of TbTcP2 at the PBE level of DFT.

Cell lengths 4.0931, 4.0931, 5.2787 Å; angles 67.19, 67.19, 60.00 degrees
Fractional coordinates of all 4 atoms:
Tc (0.0000, 0.0000, 0.0000)
P (0.7164, 0.7164, 0.8507)
P (0.2836, 0.2836, 0.1493)
Tb (0.5000, 0.5000, 0.5000)

Properties
- ΔH_f (0 K) (kJ/mol of atoms) = -85
- space-group type = R-3m, No. 166
- Fermi-level density of states (states/eV/cell) = 1.0

Computed, not measured: an optimized crystal structure of TbTcP at the PBE level of DFT.

Cell lengths 3.9678, 3.9645, 10.5082 Å; angles 112.12, 90.00, 120.03 degrees
Fractional coordinates of all 6 atoms:
P (0.7295, 0.4590, 0.8440)
P (0.2705, 0.5410, 0.1560)
Tc (0.1027, 0.2054, 0.9036)
Tc (0.8973, 0.7946, 0.0964)
Tb (0.7207, 0.4415, 0.3314)
Tb (0.2793, 0.5585, 0.6686)

Properties
- ΔH_f (0 K) (kJ/mol of atoms) = -64
- space-group type = C2/m, No. 12
- Fermi-level density of states (states/eV/cell) = 4.1